Entry 1:
Below is a relaxed TaMnCoNi crystal, with properties calculated at the GGA-PBE level.

Lattice parameters (Å, degrees): 4.2221 4.2221 4.2221 60.00 60.00 60.00
Last column: magnetic moment on the atom in μB.
Positions (direct):
Mn  0.5000  0.5000  0.5000  3.36
Co  0.7500  0.7500  0.7500  1.11
Ta  0.0000  0.0000  0.0000  -0.11
Ni  0.2500  0.2500  0.2500  0.26

Summary:
Space group ... F-43m, No. 216
Energy relative to the elements ... -0.104 eV/atom



Entry 2:
Below is a relaxed Sc4Ga12Cu crystal, with properties calculated at the GGA-PBE level.

Lattice parameters (Å, degrees): 7.2610 7.2610 7.2610 109.47 109.47 109.47
Positions (direct):
Sc  0.0000  0.0000  0.5000
Sc  0.5000  0.5000  0.5000
Sc  0.0000  0.5000  0.0000
Sc  0.5000  0.0000  0.0000
Ga  0.2901  0.2901  0.0000
Ga  0.7099  0.7099  0.0000
Ga  0.2901  0.0000  0.2901
Ga  0.5000  0.2500  0.7500
Ga  0.7099  0.0000  0.7099
Ga  0.2500  0.5000  0.7500
Ga  0.0000  0.7099  0.7099
Ga  0.2500  0.7500  0.5000
Ga  0.7500  0.2500  0.5000
Ga  0.0000  0.2901  0.2901
Ga  0.5000  0.7500  0.2500
Ga  0.7500  0.5000  0.2500
Cu  0.0000  0.0000  0.0000

Summary:
Space group ... Im-3m, No. 229
Energy relative to the elements ... -0.442 eV/atom



Entry 3:
Below is a relaxed KTi2GaAs crystal, with properties calculated at the GGA-PBE level.

Lattice parameters (Å, degrees): 4.8648 5.4738 4.8648 90.00 90.00 90.00
Last column: magnetic moment on the atom in μB.
Positions (direct):
K  0.0000  0.5000  0.0000  0.00
Ti  0.0000  0.0000  0.5000  0.41
Ti  0.5000  0.0000  0.0000  0.57
As  0.5000  0.5000  0.5000  -0.07
Ga  0.0000  0.0000  0.0000  -0.02

Summary:
Space group ... P4/mmm, No. 123
Energy relative to the elements ... 0.752 eV/atom



Entry 4:
Below is a relaxed LaCuPb2Se4 crystal, with properties calculated at the GGA-PBE level.

Lattice parameters (Å, degrees): 4.1976 7.1826 15.1375 90.00 90.00 106.99
Positions (direct):
Pb  0.6353  0.2706  0.0587
Pb  0.6353  0.2706  0.4413
Pb  0.3647  0.7294  0.9413
Pb  0.3647  0.7294  0.5587
Cu  0.8416  0.6833  0.7500
Cu  0.1584  0.3167  0.2500
Se  0.7117  0.4234  0.8668
Se  0.7117  0.4234  0.6332
Se  0.2883  0.5766  0.1332
Se  0.0000  0.0000  0.0000
Se  0.0000  0.0000  0.5000
Se  0.5546  0.1093  0.2500
Se  0.2883  0.5766  0.3668
Se  0.4454  0.8907  0.7500
La  0.8898  0.7797  0.2500
La  0.1102  0.2203  0.7500

Summary:
Formation energy from raw total energies ... -887 meV/atom
Space group ... Cmcm, No. 63



Computed M_tot, in the same sequence as the records: 4.74; 0.00; 1.09; 0.00 Bohr magnetons per cell.